# Ni2PdF, relaxed, DFT PBE+U
# * total magnetization: 2.47 μB per formula unit
# * total DFT energy (no corrections): -2.864 eV/atom
data_Ni2PdF
_chemical_formula_sum 'Ni8 Pd4 F4'
_cell_length_a 4.5105
_cell_length_b 4.5105
_cell_length_c 12.5559
_cell_angle_alpha 90.00
_cell_angle_beta 90.00
_cell_angle_gamma 90.00
_symmetry_space_group_name_H-M 'I -4 2 d'
_symmetry_Int_Tables_number 122
_symmetry_space_group_name_Hall 'I -4 2bw'
loop_
_atom_site_label
_atom_site_fract_x
_atom_site_fract_y
_atom_site_fract_z
Ni1 0.1416 0.2500 0.1250
Pd1 0.0000 0.0000 0.5000
F1 0.0000 0.0000 0.0000